TaRu2 | meta-GGA SCAN | single point on PBEsol structure

## Properties
E = -548.4 eV per cell
DFT formation energy = -0.291 eV/atom

a b c (Å): 3.8378 3.8378 12.2870
angles (deg): 98.98 98.98 90.00
Last column: nearest neighbours and their distance in Å.
Fractional coordinates of all 12 atoms:
1 Ru 0.7506 0.7506 0.5011  4 Ta 2.66-2.67, 8 Ru 2.71-2.75
2 Ru 0.2494 0.2494 0.4989  4 Ta 2.66-2.67, 8 Ru 2.71-2.75
3 Ru 0.0006 0.5006 0.0011  4 Ta 2.66-2.67, 8 Ru 2.71-2.75
4 Ru 0.4994 0.9994 0.9989  4 Ta 2.66-2.67, 8 Ru 2.71-2.75
5 Ru 0.5819 0.5819 0.1638  6 Ta 2.72-2.90, 6 Ru 2.74-2.82
6 Ru 0.4181 0.4181 0.8362  6 Ta 2.72-2.90, 6 Ru 2.74-2.82
7 Ru 0.8319 0.3319 0.6638  6 Ta 2.72-2.90, 6 Ru 2.74-2.82
8 Ru 0.6681 0.1681 0.3362  6 Ta 2.72-2.90, 6 Ru 2.74-2.82
9 Ta 0.9229 0.9229 0.8457  10 Ru 2.66-2.90
10 Ta 0.0771 0.0771 0.1543  10 Ru 2.66-2.90
11 Ta 0.1729 0.6729 0.3457  10 Ru 2.66-2.90
12 Ta 0.3271 0.8271 0.6543  10 Ru 2.66-2.90